Tb3Pm2Er4 after structural relaxation, computed with PBE.

Calculated values
- total DFT energy (no corrections) (eV per atom) = -4.53
- distance to the lowest polymorph of the same formula (meV per atom) = 79.1
- DFT formation energy (eV/atom) = 0.10

Lattice parameters (Å, degrees): 16.291 11.557 6.111 90.00 96.13 90.00
Space group C2/c (No. 15)
Asymmetric unit:
Tb 0.000 0.097 0.250 (multiplicity 4)
Tb 0.165 0.403 0.098 (multiplicity 8)
Pm 0.123 0.144 0.823 (multiplicity 8)
Er 0.046 0.360 0.516 (multiplicity 8)
Er 0.216 0.139 0.349 (multiplicity 8)

TbPm2Er2 after structural relaxation, computed with PBE.

Calculated values
- total DFT energy (no corrections) (eV per atom) = -4.63
- distance to the lowest polymorph of the same formula (meV per atom) = 0.0
- DFT formation energy (eV/atom) = 0.02

Lattice parameters (Å, degrees): 6.199 3.580 14.552 90.00 90.02 90.00
Space group C2/m (No. 12)
Asymmetric unit:
Tb 0.000 0.000 0.000 (multiplicity 2)
Pm 0.168 0.500 0.396 (multiplicity 4)
Er 0.166 0.500 0.804 (multiplicity 4)